(1)
# Fe2Tc, optimized geometry, DFT PBE
# - ΔE to the lowest computed polymorph (meV/atom) = 164.8
# - E_form (eV per formula unit) = 0.55
data_Fe2Tc
_chemical_formula_sum 'Fe2 Tc1'
_cell_length_a 2.6576
_cell_length_b 2.6576
_cell_length_c 6.2225
_cell_angle_alpha 90.00
_cell_angle_beta 90.00
_cell_angle_gamma 120.00
_symmetry_space_group_name_H-M 'P -3 m 1'
_symmetry_Int_Tables_number 164
_symmetry_space_group_name_Hall '-P 3 2"'
loop_
_atom_site_label
_atom_site_type_symbol
_atom_site_fract_x
_atom_site_fract_y
_atom_site_fract_z
_atom_site_occupancy
Fe1 Fe 0.3333 0.6667 0.1592 1
Tc1 Tc 0.0000 0.0000 0.5000 1



(2)
This record from Alexandria describes crystalline Cs2YSiI6 at its relaxed geometry. The functional is PBE.

```
data_Cs2YSiI6
_chemical_formula_sum 'Cs4 Y2 Si2 I12'
_cell_length_a 8.4506
_cell_length_b 8.4506
_cell_length_c 13.5444
_cell_angle_alpha 90.00
_cell_angle_beta 90.00
_cell_angle_gamma 90.00
_symmetry_space_group_name_H-M 'I 4/m m m'
_symmetry_Int_Tables_number 139
_symmetry_space_group_name_Hall '-I 4 2'
loop_
_atom_site_label
_atom_site_type_symbol
_atom_site_fract_x
_atom_site_fract_y
_atom_site_fract_z
_atom_site_occupancy
Cs1 Cs 0.0000 0.5000 0.2500 1
Y1 Y 0.0000 0.0000 0.0000 1
Si1 Si 0.0000 0.0000 0.5000 1
I1 I 0.0000 0.0000 0.2233 1
I2 I 0.2455 0.2455 0.5000 1
```



(3)
# CoPbW3, optimized geometry, DFT PBE
# - E_form (eV per formula unit) = 18.18
data_CoPbW3
_chemical_formula_sum 'Co1 Pb1 W3'
_cell_length_a 4.9372
_cell_length_b 4.9372
_cell_length_c 4.9372
_cell_angle_alpha 90.00
_cell_angle_beta 90.00
_cell_angle_gamma 90.00
_symmetry_space_group_name_H-M 'P m -3 m'
_symmetry_Int_Tables_number 221
_symmetry_space_group_name_Hall '-P 4 2 3'
loop_
_atom_site_label
_atom_site_type_symbol
_atom_site_fract_x
_atom_site_fract_y
_atom_site_fract_z
_atom_site_occupancy
Co1 Co 0.0000 0.0000 0.0000 1
Pb1 Pb 0.5000 0.5000 0.5000 1
W1 W 0.0000 0.5000 0.5000 1



Record-wise DFT total energy values, in eV/cell: -26.74 -65.89 -31.49